Here is crystalline KBaLa2Co at its relaxed geometry from Alexandria via LeMat-Bulk. Energies are from PBE.

POSCAR file:
```
KBaLa2Co
1.0
-3.747 -1.748 -4.506
3.808 -1.911 -2.425
-0.892 -5.353 2.818
K Ba La Co
1 1 2 1
direct
0.500 0.500 0.500
0.000 0.000 0.000
0.500 0.000 0.000
0.000 0.000 0.500
0.000 0.500 0.000
```

Summary:
* energy of formation from the pure elements: 1.072 eV/atom
* energy: -2.92 eV/atom